Entry 1:
Here is a relaxed structure of AcGaAs2 from Alexandria. Energies are from PBE.

Structure (POSCAR):
```
AcGaAs2
1.0
4.297 0.000 0.000
0.000 4.766 0.000
0.000 0.000 4.766
Ac As Ga
1 2 1
Cartesian
2.149 0.000 0.000
0.000 2.383 0.000
0.000 0.000 2.383
2.149 2.383 2.383
```

Values from the calculation:
symmetry = P4/mmm (123)
relative energy among the computed polymorphs = 0.000 eV/atom
ΔE_f = -0.588 eV/atom
magnetic moment = 0.0 μB/f.u.

=====

Entry 2:
Here is a relaxed structure of AcGaAs from Alexandria. Energies are from PBE.

Structure (POSCAR):
```
AcGaAs
1.0
4.986 0.000 0.000
2.493 4.318 0.000
2.493 1.439 4.071
Ga Ac As
1 1 1
Cartesian
2.493 1.439 1.018
4.986 2.879 2.036
0.000 0.000 0.000
```

Values from the calculation:
symmetry = F-43m (216)
relative energy among the computed polymorphs = 0.349 eV/atom
ΔE_f = -0.419 eV/atom
magnetic moment = 0.0 μB/f.u.

=====

Entry 3:
Here is a relaxed structure of AcGaAs from Alexandria. Energies are from PBE.

Structure (POSCAR):
```
AcGaAs
1.0
3.763 0.000 0.000
0.000 3.763 0.000
-1.882 -1.882 5.412
As Ga Ac
1 1 1
Cartesian
1.882 1.882 4.534
0.000 0.000 3.433
1.882 1.882 1.233
```

Values from the calculation:
symmetry = I4mm (107)
relative energy among the computed polymorphs = 0.239 eV/atom
ΔE_f = -0.529 eV/atom
magnetic moment = 0.0 μB/f.u.

=====

Entry 4:
Here is a relaxed structure of AcGaAs4 from Alexandria. Energies are from PBE.

Structure (POSCAR):
```
AcGaAs4
1.0
-3.233 1.627 4.545
1.942 -0.870 5.406
1.639 4.520 3.261
Ga Ac As
1 1 4
Cartesian
0.000 0.000 0.000
0.087 1.319 3.303
-0.640 0.960 6.628
0.220 3.330 8.337
1.915 2.477 5.955
-0.798 3.786 5.503
```

Values from the calculation:
symmetry = F-43m (216)
ΔE_f = -0.278 eV/atom
magnetic moment = 0.0 μB/f.u.

=====

Entry 5:
Here is a relaxed structure of AcGaAsH from Alexandria. Energies are from PBE.

Structure (POSCAR):
```
AcGaAsH
1.0
-2.066 1.201 -4.462
2.587 -0.781 -4.280
-1.433 -3.657 -3.192
As Ac H Ga
1 1 1 1
Cartesian
-0.684 -2.428 -8.950
0.000 0.000 0.000
-0.228 -0.809 -2.983
-0.456 -1.619 -5.967
```

Values from the calculation:
symmetry = F-43m (216)
calculated total energy = -16.51 eV/cell
magnetic moment = 0.0 μB/f.u.

=====

Entry 6:
Here is a relaxed structure of Ac4GaAsI2 from Alexandria. Energies are from PBE.

Structure (POSCAR):
```
Ac4GaAsI2
1.0
-2.513 0.518 -3.890
6.291 -2.179 -4.355
-4.507 -6.979 1.981
Ac I Ga As
4 2 1 1
Cartesian
3.691 -3.011 -2.786
-0.045 -6.973 -3.692
-0.684 -1.666 -2.572
-1.906 -6.146 0.412
-3.510 -3.230 -0.954
0.892 -4.579 -1.187
1.889 -0.830 -4.123
0.000 0.000 0.000
```

Values from the calculation:
symmetry = P2/m (10)
raw formation energy = -100.0 kJ/mol of atoms
magnetic moment = 0.0 μB/f.u.